Entry 1:
VASP calculation (PBE) on an optimized crystal structure of NaMgSbRh.

Computed properties:
- final energy (eV per atom) = -3.89

Unit cell a=6.6616 b=6.6616 c=6.6616 alpha=90.00 beta=90.00 gamma=90.00
Space group F-43m (No. 216)
Symmetry-distinct sites (fractional):
Na 0.0000 0.0000 0.0000
Mg 0.2500 0.2500 0.7500
Sb 0.2500 0.2500 0.2500
Rh 0.0000 0.0000 0.5000

=====

Entry 2:
VASP calculation (PBE) on an optimized crystal structure of KAg2P.

Computed properties:
- DFT formation energy (eV/atom) = -0.0473

Unit cell a=8.5064 b=4.4540 c=6.0613 alpha=90.00 beta=109.25 gamma=90.00
Space group Cm (No. 8)
Symmetry-distinct sites (fractional):
K 0.0000 0.0000 0.0000
Ag 0.0006 0.5000 0.5230
Ag 0.2926 0.5000 0.4390
P 0.2129 0.0000 0.5716

=====

Entry 3:
VASP calculation (PBE) on an optimized crystal structure of Cr3Pd12Rh5.

Computed properties:
- DFT formation energy (eV/atom) = 0.7683

Unit cell a=14.6366 b=14.6366 c=14.6366 alpha=90.00 beta=90.00 gamma=90.00
Space group Ia-3d (No. 230)
Symmetry-distinct sites (fractional):
Cr 0.0000 0.2500 0.1250
Pd 0.0099 0.0768 0.6532
Rh 0.0000 0.0000 0.0000
Rh 0.0000 0.2500 0.3750

=====

Entry 4:
VASP calculation (PBE) on an optimized crystal structure of CsNa2Hg.

Computed properties:
- DFT formation energy (eV/atom) = -0.0955

Unit cell a=5.4904 b=5.4904 c=21.5487 alpha=90.00 beta=90.00 gamma=120.00
Space group R-3m (No. 166, hexagonal axes)
Symmetry-distinct sites (fractional):
Cs 0.0000 0.0000 0.0000
Na 0.0000 0.0000 0.1991
Hg 0.0000 0.0000 0.5000

=====

Entry 5:
VASP calculation (PBE) on an optimized crystal structure of Be3Al.

Computed properties:
- DFT formation energy (eV/atom) = 0.3358

Unit cell a=5.5042 b=5.5042 c=5.5042 alpha=90.00 beta=90.00 gamma=90.00
Space group Fm-3m (No. 225)
Symmetry-distinct sites (fractional):
Be 0.0000 0.0000 0.0000
Be 0.2500 0.2500 0.2500
Al 0.0000 0.0000 0.5000

=====

Density for the records above, in order: 6.111, 4.378, 8.251, 3.360, 2.152 g cm⁻³
Size of the total moment for the records above, in order: 0.000, 0.000, 53.081, 0.000, 0.000 μB per cell
DOS(E_F) for the records above, in order: 2.19, 0.37, 33.29, 2.49, 1.03 states/eV/f.u.